Entry 1:
! PBEsol LiIn2Si, optimized geometry; values from VASP
&SYSTEM
  ibrav = 0, nat = 4, ntyp = 3
/
ATOMIC_SPECIES
In 114.82 In.upf
Si 28.09 Si.upf
Li 6.94 Li.upf
CELL_PARAMETERS angstrom
3.343 0.000 0.000
0.000 4.104 0.000
0.000 0.000 5.858
ATOMIC_POSITIONS crystal
In 0.500 0.500 0.269
In 0.000 0.000 0.975
Si 0.500 0.500 0.750
Li 0.000 0.000 0.506
! Theoretical density (g/cm³): 5.468
! Crystal system: orthorhombic
! Final energy (eV/atom): -3.374

---

Entry 2:
! PBEsol LiInSi, optimized geometry; values from VASP
&SYSTEM
  ibrav = 0, nat = 3, ntyp = 3
/
ATOMIC_SPECIES
In 114.82 In.upf
Li 6.94 Li.upf
Si 28.09 Si.upf
CELL_PARAMETERS angstrom
3.130 0.000 0.000
-1.565 2.710 0.000
0.000 0.000 6.579
ATOMIC_POSITIONS crystal
In 0.000 0.000 0.003
Li 0.333 0.667 0.650
Si 0.667 0.333 0.347
! Theoretical density (g/cm³): 4.459
! Crystal system: trigonal
! Final energy (eV/atom): -3.497

---

Entry 3:
! PBEsol LiInSi, optimized geometry; values from VASP
&SYSTEM
  ibrav = 0, nat = 3, ntyp = 3
/
ATOMIC_SPECIES
In 114.82 In.upf
Li 6.94 Li.upf
Si 28.09 Si.upf
CELL_PARAMETERS angstrom
2.881 0.000 0.000
0.000 4.736 0.000
0.000 -2.368 4.101
ATOMIC_POSITIONS crystal
In 0.167 0.000 0.000
Li 0.665 0.333 0.667
Si 0.167 0.667 0.333
! Theoretical density (g/cm³): 4.446
! Crystal system: trigonal
! Final energy (eV/atom): -3.557

---

Entry 4:
! PBEsol LiInSi2, optimized geometry; values from VASP
&SYSTEM
  ibrav = 0, nat = 4, ntyp = 3
/
ATOMIC_SPECIES
Li 6.94 Li.upf
Si 28.09 Si.upf
In 114.82 In.upf
CELL_PARAMETERS angstrom
-1.713 2.602 2.001
0.607 0.231 3.645
4.780 5.200 0.755
ATOMIC_POSITIONS crystal
Li 0.266 0.266 0.202
Si 0.013 0.013 0.961
Si 0.727 0.727 0.819
In 0.494 0.494 0.518
! Theoretical density (g/cm³): 3.675
! Crystal system: trigonal
! Final energy (eV/atom): -4.046

---

Entry 5:
! PBEsol Li2InSn, optimized geometry; values from VASP
&SYSTEM
  ibrav = 0, nat = 4, ntyp = 3
/
ATOMIC_SPECIES
In 114.82 In.upf
Sn 118.71 Sn.upf
Li 6.94 Li.upf
CELL_PARAMETERS angstrom
4.761 0.000 0.000
2.381 4.123 0.000
2.381 1.374 3.887
ATOMIC_POSITIONS crystal
In 0.500 0.500 0.500
Sn 0.000 0.000 0.000
Li 0.250 0.250 0.250
Li 0.750 0.750 0.750
! Theoretical density (g/cm³): 5.383
! Crystal system: cubic
! Final energy (eV/atom): -3.136
! ΔE_f (meV/atom): -342

---

Entry 6:
! PBEsol SrLiIn2, optimized geometry; values from VASP
&SYSTEM
  ibrav = 0, nat = 4, ntyp = 3
/
ATOMIC_SPECIES
In 114.82 In.upf
Li 6.94 Li.upf
Sr 87.62 Sr.upf
CELL_PARAMETERS angstrom
3.486 0.000 0.000
0.000 3.693 0.000
0.000 0.000 7.725
ATOMIC_POSITIONS crystal
In 0.000 0.000 0.696
In 0.000 0.000 0.304
Li 0.500 0.500 0.500
Sr 0.500 0.500 0.000
! Theoretical density (g/cm³): 5.413
! Crystal system: orthorhombic
! Final energy (eV/atom): -2.824
! ΔE_f (meV/atom): -381

---

Entry 7:
! PBEsol SrLiIn2, optimized geometry; values from VASP
&SYSTEM
  ibrav = 0, nat = 4, ntyp = 3
/
ATOMIC_SPECIES
In 114.82 In.upf
Li 6.94 Li.upf
Sr 87.62 Sr.upf
CELL_PARAMETERS angstrom
-1.184 0.557 -4.538
-2.056 -3.540 -2.356
-6.198 0.932 -0.726
ATOMIC_POSITIONS crystal
In 0.964 0.964 0.107
In 0.227 0.227 0.318
Li 0.559 0.559 0.323
Sr 0.754 0.754 0.738
! Theoretical density (g/cm³): 4.898
! Crystal system: trigonal
! Final energy (eV/atom): -2.803
! ΔE_f (meV/atom): -360

---

Entry 8:
! PBEsol SrLiIn2, optimized geometry; values from VASP
&SYSTEM
  ibrav = 0, nat = 4, ntyp = 3
/
ATOMIC_SPECIES
Sr 87.62 Sr.upf
Li 6.94 Li.upf
In 114.82 In.upf
CELL_PARAMETERS angstrom
-0.247 0.724 4.682
1.465 -3.369 3.002
5.674 1.350 2.494
ATOMIC_POSITIONS crystal
Sr 0.000 0.000 0.000
Li 0.500 0.500 0.500
In 0.795 0.795 0.616
In 0.205 0.205 0.384
! Theoretical density (g/cm³): 4.827
! Crystal system: trigonal
! Final energy (eV/atom): -2.828
! ΔE_f (meV/atom): -385